Run A
Material: CaFe2Os2
Method: DFT, PBE-GGA
State: relaxed

CIF file:
```
data_CaFe2Os2
_symmetry_space_group_name_H-M 'I 4/m m m'
_symmetry_Int_Tables_number 139
_symmetry_space_group_name_Hall '-I 4 2'
_cell_length_a 4.082
_cell_length_b 4.082
_cell_length_c 9.720
_cell_angle_alpha 90.00
_cell_angle_beta 90.00
_cell_angle_gamma 90.00
loop_
_atom_site_label
_atom_site_type_symbol
_atom_site_fract_x
_atom_site_fract_y
_atom_site_fract_z
_atom_site_occupancy
Ca1 Ca 0.000 0.000 0.000 1
Fe1 Fe 0.000 0.000 0.383 1
Os1 Os 0.000 0.500 0.250 1
```

Total magnetization: 1.87 μB per formula unit
V: 16.19 A^3/atom



Run B
Material: CaFe2Os2
Method: DFT, PBE-GGA
State: relaxed

CIF file:
```
data_CaFe2Os2
_symmetry_space_group_name_H-M 'P 4/m b m'
_symmetry_Int_Tables_number 127
_symmetry_space_group_name_Hall '-P 4 2ab'
_cell_length_a 7.432
_cell_length_b 7.432
_cell_length_c 2.644
_cell_angle_alpha 90.00
_cell_angle_beta 90.00
_cell_angle_gamma 90.00
loop_
_atom_site_label
_atom_site_type_symbol
_atom_site_fract_x
_atom_site_fract_y
_atom_site_fract_z
_atom_site_occupancy
Ca1 Ca 0.000 0.000 0.000 1
Fe1 Fe 0.117 0.383 0.000 1
Os1 Os 0.172 0.672 0.500 1
```

Total magnetization: 0.00 μB per formula unit
V: 14.60 A^3/atom



It is run A that is most stable; the runner-up trails by 36 meV/atom.



Run A
Material: CaFeOs2
Method: DFT, PBE-GGA
State: relaxed

CIF file:
```
data_CaFeOs2
_symmetry_space_group_name_H-M 'P 1 2/m 1'
_symmetry_Int_Tables_number 10
_cell_length_a 2.736
_cell_length_b 4.293
_cell_length_c 5.855
_cell_angle_alpha 90.00
_cell_angle_beta 103.24
_cell_angle_gamma 90.00
loop_
_symmetry_equiv_pos_as_xyz
'x,y,z'
'-x,-y,-z'
'-x,y,-z'
'x,-y,z'
loop_
_atom_site_label
_atom_site_type_symbol
_atom_site_fract_x
_atom_site_fract_y
_atom_site_fract_z
_atom_site_occupancy
Ca1 Ca 0.000 0.000 0.000 1
Fe1 Fe 0.500 0.000 0.500 1
Os1 Os 0.327 0.500 0.699 1
```

Total magnetization: 3.16 μB per formula unit
V: 16.73 A^3/atom



Run B
Material: CaFeOs2
Method: DFT, PBE-GGA
State: relaxed

CIF file:
```
data_CaFeOs2
_symmetry_space_group_name_H-M 'I -4 2 d'
_symmetry_Int_Tables_number 122
_symmetry_space_group_name_Hall 'I -4 2bw'
_cell_length_a 7.449
_cell_length_b 7.449
_cell_length_c 5.016
_cell_angle_alpha 90.00
_cell_angle_beta 90.00
_cell_angle_gamma 90.00
loop_
_atom_site_label
_atom_site_type_symbol
_atom_site_fract_x
_atom_site_fract_y
_atom_site_fract_z
_atom_site_occupancy
Ca1 Ca 0.000 0.000 0.000 1
Fe1 Fe 0.000 0.000 0.500 1
Os1 Os 0.185 0.250 0.625 1
```

Total magnetization: 1.62 μB per formula unit
V: 17.40 A^3/atom



It is run A that is most stable; the runner-up trails by 239 meV/atom.



Run A
Material: CaFeOs2
Method: DFT, PBE-GGA
State: relaxed

CIF file:
```
data_CaFeOs2
_symmetry_space_group_name_H-M 'C 1 2/m 1'
_symmetry_Int_Tables_number 12
_cell_length_a 5.486
_cell_length_b 9.329
_cell_length_c 2.696
_cell_angle_alpha 90.00
_cell_angle_beta 114.38
_cell_angle_gamma 90.00
loop_
_symmetry_equiv_pos_as_xyz
'x,y,z'
'-x,-y,-z'
'-x,y,-z'
'x,-y,z'
'x+1/2,y+1/2,z'
'-x+1/2,-y+1/2,-z'
'-x+1/2,y+1/2,-z'
'x+1/2,-y+1/2,z'
loop_
_atom_site_label
_atom_site_type_symbol
_atom_site_fract_x
_atom_site_fract_y
_atom_site_fract_z
_atom_site_occupancy
Ca1 Ca 0.000 0.000 0.000 1
Fe1 Fe 0.000 0.500 0.000 1
Os1 Os 0.250 0.250 0.500 1
```

Total magnetization: 2.73 μB per formula unit
V: 15.71 A^3/atom



Run B
Material: CaFeOs2
Method: DFT, PBE-GGA
State: relaxed

CIF file:
```
data_CaFeOs2
_symmetry_space_group_name_H-M 'F m -3 m'
_symmetry_Int_Tables_number 225
_symmetry_space_group_name_Hall '-F 4 2 3'
_cell_length_a 6.249
_cell_length_b 6.249
_cell_length_c 6.249
_cell_angle_alpha 90.00
_cell_angle_beta 90.00
_cell_angle_gamma 90.00
loop_
_atom_site_label
_atom_site_type_symbol
_atom_site_fract_x
_atom_site_fract_y
_atom_site_fract_z
_atom_site_occupancy
Ca1 Ca 0.000 0.000 0.000 1
Fe1 Fe 0.000 0.000 0.500 1
Os1 Os 0.250 0.250 0.250 1
```

Total magnetization: 0.00 μB per formula unit
V: 15.25 A^3/atom



It is run A that is most stable; the runner-up trails by 391 meV/atom.



Run A
Material: Ca2FeOs
Method: DFT, PBE-GGA
State: relaxed

CIF file:
```
data_Ca2FeOs
_symmetry_space_group_name_H-M 'I -4 2 d'
_symmetry_Int_Tables_number 122
_symmetry_space_group_name_Hall 'I -4 2bw'
_cell_length_a 7.868
_cell_length_b 7.868
_cell_length_c 5.149
_cell_angle_alpha 90.00
_cell_angle_beta 90.00
_cell_angle_gamma 90.00
loop_
_atom_site_label
_atom_site_type_symbol
_atom_site_fract_x
_atom_site_fract_y
_atom_site_fract_z
_atom_site_occupancy
Ca1 Ca 0.215 0.750 0.125 1
Fe1 Fe 0.000 0.000 0.000 1
Os1 Os 0.000 0.000 0.500 1
```

Total magnetization: 0.03 μB per formula unit
V: 19.92 A^3/atom



Run B
Material: Ca2FeOs
Method: DFT, PBE-GGA
State: relaxed

CIF file:
```
data_Ca2FeOs
_symmetry_space_group_name_H-M 'P 4 m m'
_symmetry_Int_Tables_number 99
_cell_length_a 3.354
_cell_length_b 3.354
_cell_length_c 8.434
_cell_angle_alpha 90.00
_cell_angle_beta 90.00
_cell_angle_gamma 90.00
loop_
_symmetry_equiv_pos_as_xyz
'x,y,z'
'-y,x,z'
'-x,-y,z'
'y,-x,z'
'-x,y,z'
'y,x,z'
'x,-y,z'
'-y,-x,z'
loop_
_atom_site_label
_atom_site_type_symbol
_atom_site_fract_x
_atom_site_fract_y
_atom_site_fract_z
_atom_site_occupancy
Ca1 Ca 0.000 0.000 0.000 1
Ca2 Ca 0.500 0.500 0.403 1
Fe1 Fe 0.000 0.000 0.656 1
Os1 Os 0.500 0.500 0.750 1
```

Total magnetization: 3.39 μB per formula unit
V: 23.71 A^3/atom



Run C
Material: Ca2FeOs
Method: DFT, PBE-GGA
State: relaxed

CIF file:
```
data_Ca2FeOs
_symmetry_space_group_name_H-M 'I m m 2'
_symmetry_Int_Tables_number 44
_cell_length_a 3.956
_cell_length_b 5.007
_cell_length_c 8.770
_cell_angle_alpha 90.00
_cell_angle_beta 90.00
_cell_angle_gamma 90.00
loop_
_symmetry_equiv_pos_as_xyz
'x,y,z'
'-x,-y,z'
'-x,y,z'
'x,-y,z'
'x+1/2,y+1/2,z+1/2'
'-x+1/2,-y+1/2,z+1/2'
'-x+1/2,y+1/2,z+1/2'
'x+1/2,-y+1/2,z+1/2'
loop_
_atom_site_label
_atom_site_type_symbol
_atom_site_fract_x
_atom_site_fract_y
_atom_site_fract_z
_atom_site_occupancy
Ca1 Ca 0.000 0.000 0.000 1
Ca2 Ca 0.000 0.500 0.206 1
Fe1 Fe 0.000 0.500 0.791 1
Os1 Os 0.000 0.000 0.412 1
```

Total magnetization: 0.65 μB per formula unit
V: 21.71 A^3/atom



It is run B that is most stable; the runner-up trails by 64 meV/atom.



Run A
Material: Ca2FeOs
Method: DFT, PBE-GGA
State: relaxed

CIF file:
```
data_Ca2FeOs
_symmetry_space_group_name_H-M 'C m m m'
_symmetry_Int_Tables_number 65
_symmetry_space_group_name_Hall '-C 2 2'
_cell_length_a 6.008
_cell_length_b 9.051
_cell_length_c 2.913
_cell_angle_alpha 90.00
_cell_angle_beta 90.00
_cell_angle_gamma 90.00
loop_
_atom_site_label
_atom_site_type_symbol
_atom_site_fract_x
_atom_site_fract_y
_atom_site_fract_z
_atom_site_occupancy
Ca1 Ca 0.250 0.250 0.000 1
Fe1 Fe 0.000 0.000 0.500 1
Os1 Os 0.000 0.500 0.500 1
```

Total magnetization: 2.76 μB per formula unit
V: 19.80 A^3/atom



Run B
Material: Ca2FeOs
Method: DFT, PBE-GGA
State: relaxed

CIF file:
```
data_Ca2FeOs
_symmetry_space_group_name_H-M 'I -4 m 2'
_symmetry_Int_Tables_number 119
_symmetry_space_group_name_Hall 'I -4 -2'
_cell_length_a 4.796
_cell_length_b 4.796
_cell_length_c 6.810
_cell_angle_alpha 90.00
_cell_angle_beta 90.00
_cell_angle_gamma 90.00
loop_
_atom_site_label
_atom_site_type_symbol
_atom_site_fract_x
_atom_site_fract_y
_atom_site_fract_z
_atom_site_occupancy
Ca1 Ca 0.000 0.000 0.000 1
Ca2 Ca 0.000 0.500 0.250 1
Fe1 Fe 0.000 0.500 0.750 1
Os1 Os 0.000 0.000 0.500 1
```

Total magnetization: 3.57 μB per formula unit
V: 19.58 A^3/atom



It is run B that is most stable; the runner-up trails by 109 meV/atom.



Run A
Material: CaFeP3
Method: DFT, PBE-GGA
State: relaxed

CIF file:
```
data_CaFeP3
_symmetry_space_group_name_H-M 'P m -3 m'
_symmetry_Int_Tables_number 221
_symmetry_space_group_name_Hall '-P 4 2 3'
_cell_length_a 5.063
_cell_length_b 5.063
_cell_length_c 5.063
_cell_angle_alpha 90.00
_cell_angle_beta 90.00
_cell_angle_gamma 90.00
loop_
_atom_site_label
_atom_site_type_symbol
_atom_site_fract_x
_atom_site_fract_y
_atom_site_fract_z
_atom_site_occupancy
Ca1 Ca 0.000 0.000 0.000 1
Fe1 Fe 0.500 0.500 0.500 1
P1 P 0.000 0.000 0.500 1
```

Total magnetization: 0.29 μB per formula unit
V: 25.96 A^3/atom



Run B
Material: CaFeP3
Method: DFT, PBE-GGA
State: relaxed

CIF file:
```
data_CaFeP3
_symmetry_space_group_name_H-M 'P m -3 m'
_symmetry_Int_Tables_number 221
_symmetry_space_group_name_Hall '-P 4 2 3'
_cell_length_a 4.485
_cell_length_b 4.485
_cell_length_c 4.485
_cell_angle_alpha 90.00
_cell_angle_beta 90.00
_cell_angle_gamma 90.00
loop_
_atom_site_label
_atom_site_type_symbol
_atom_site_fract_x
_atom_site_fract_y
_atom_site_fract_z
_atom_site_occupancy
Ca1 Ca 0.000 0.000 0.000 1
Fe1 Fe 0.500 0.500 0.500 1
P1 P 0.000 0.500 0.500 1
```

Total magnetization: 0.63 μB per formula unit
V: 18.04 A^3/atom



It is run B that is most stable; the runner-up trails by 1891 meV/atom.